Material: In3Te
Method: DFT, GGA-PBE
State: optimized geometry

**Total moment**: 0.0 μB/cell
**Symmetry**: No. 123
**Formation energy from raw total energies**: 0.04 eV per atom

a b c (Å): 3.435 3.435 9.775
angles (deg): 90.00 90.00 90.00
Atoms (fractional coordinates):
In1 0.500 0.500 0.752
In2 0.000 0.000 0.500
In3 0.500 0.500 0.248
Te1 0.000 0.000 0.000